(1)
BeFe3S: optimized geometry, GGA-PBE.

abc: 4.075 4.075 4.075
angles: 90.00 90.00 90.00
Each line ends with the local moment (μB).
Sites, in units of the cell vectors:
1 Fe 0.000 0.000 0.500  1.92
2 Fe 0.000 0.500 0.000  2.01
3 Fe 0.500 0.000 0.000  2.13
4 Be 0.500 0.500 0.500  -0.10
5 S 0.000 0.000 0.000  0.00

Computed properties:
Distance to the lowest polymorph of the same formula = 0.00 eV/f.u.
Formation energy without anion corrections = 395 meV/atom
VASP energy = -6.25 eV/atom
N(E_F) = 2.3 states/eV per cell

(2)
Mg2IrRu2: optimized geometry, GGA-PBE.

abc: 7.053 7.053 3.009
angles: 90.00 90.00 90.00
Sites, in units of the cell vectors:
1 Ru 0.174 0.674 0.500
2 Ru 0.826 0.326 0.500
3 Ru 0.326 0.174 0.500
4 Ru 0.674 0.826 0.500
5 Mg 0.629 0.129 0.000
6 Mg 0.871 0.629 0.000
7 Mg 0.129 0.371 0.000
8 Mg 0.371 0.871 0.000
9 Ir 0.500 0.500 0.000
10 Ir 0.000 0.000 0.000

Computed properties:
Formation enthalpy at 0 K = 426 meV/atom
Distance to the lowest polymorph of the same formula = 1.39 eV/f.u.
VASP energy = -5.69 eV/atom
N(E_F) = 15.1 states/eV per cell